No. 1
Density functional theory data (PBE) for a relaxed structure of Ho2SbS.

Cell: 7.1857 7.1857 7.1857 Å, 33.33 33.33 33.33°
Fractional coordinates of all 4 atoms:
Ho  0.2414  0.2414  0.2414
Ho  0.7586  0.7586  0.7586
Sb  0.0000  0.0000  0.0000
S  0.5000  0.5000  0.5000

Results
Electronic total energy: -23.390 eV per cell
SG: R-3m (166)
Raw formation energy: -5.99 eV per formula unit
ΔE to the lowest computed polymorph: 0.0 meV/atom

---

No. 2
Density functional theory data (PBE) for a relaxed structure of EuAs6.

Cell: 6.4039 6.4039 6.4039 Å, 109.47 109.47 109.47°
Fractional coordinates of all 7 atoms:
Eu  0.0000  0.0000  0.0000
As  0.2500  0.5000  0.7500
As  0.2500  0.7500  0.5000
As  0.5000  0.2500  0.7500
As  0.5000  0.7500  0.2500
As  0.7500  0.2500  0.5000
As  0.7500  0.5000  0.2500

Results
Electronic total energy: -37.299 eV per cell
SG: Im-3m (229)
DFT formation energy: 0.125 eV per atom

---

No. 3
Density functional theory data (PBE) for a relaxed structure of PmAsS.

Cell: 9.2052 9.2052 9.2052 Å, 155.51 155.51 34.91°
Fractional coordinates of all 6 atoms:
Pm  0.1460  0.1460  0.0000
Pm  0.8540  0.8540  0.0000
As  0.0000  0.5000  0.5000
As  0.5000  0.0000  0.5000
S  0.3129  0.3129  0.0000
S  0.6871  0.6871  0.0000

Results
Electronic total energy: -36.330 eV per cell
SG: I4/mmm (139)
Raw formation energy: -4.64 eV per formula unit
ΔE to the lowest computed polymorph: 35.1 meV/atom

---

No. 4
Density functional theory data (PBE) for a relaxed structure of YMg2Al.

Cell: 5.6574 5.6574 5.6574 Å, 133.31 133.31 68.17°
Fractional coordinates of all 4 atoms:
Y  0.0000  0.0000  0.0000
Mg  0.2500  0.7500  0.5000
Mg  0.7500  0.2500  0.5000
Al  0.5000  0.5000  0.0000

Results
Electronic total energy: -13.771 eV per cell
SG: I4/mmm (139)
DFT formation energy: -0.094 eV per atom

---

No. 5
Density functional theory data (PBE) for a relaxed structure of PmRhPb.

Cell: 4.0421 4.0421 9.3235 Å, 94.79 94.79 89.18°
Fractional coordinates of all 6 atoms:
Pm  0.1726  0.1726  0.1790
Pm  0.8274  0.8274  0.8210
Rh  0.3486  0.3486  0.8760
Rh  0.6514  0.6514  0.1240
Pb  0.2654  0.2654  0.5783
Pb  0.7346  0.7346  0.4217

Results
Electronic total energy: -34.420 eV per cell
SG: C2/m (12)
ΔE to the lowest computed polymorph: 34.1 meV/atom
DFT formation energy: -0.467 eV per atom

---

No. 6
Density functional theory data (PBE) for a relaxed structure of KLiBe2.

Cell: 4.2474 4.2474 13.8551 Å, 99.38 99.38 59.84°
Fractional coordinates of all 8 atoms:
K  0.0000  0.0000  0.0000
K  0.2451  0.2451  0.7028
Li  0.4036  0.4036  0.2117
Li  0.8425  0.8425  0.4953
Be  0.2970  0.7995  0.3688
Be  0.2977  0.2977  0.3707
Be  0.7835  0.7835  0.3290
Be  0.7995  0.2970  0.3688

Results
Electronic total energy: -19.166 eV per cell
SG: Cm (8)
ΔE to the lowest computed polymorph: 44.5 meV/atom
DFT formation energy: 0.220 eV per atom

---

No. 7
Density functional theory data (PBE) for a relaxed structure of La2NdSi4.

Cell: 9.6061 9.6061 9.6061 Å, 155.95 153.01 36.45°
Fractional coordinates of all 7 atoms:
La  0.1819  0.1819  0.0000
La  0.8181  0.8181  0.0000
Nd  0.0000  0.5000  0.5000
Si  0.3599  0.3599  0.0000
Si  0.4353  0.9353  0.5000
Si  0.5647  0.0647  0.5000
Si  0.6401  0.6401  0.0000

Results
Electronic total energy: -41.251 eV per cell
SG: Immm (71)
Raw formation energy: -4.94 eV per formula unit

---

No. 8
Density functional theory data (PBE) for a relaxed structure of BaAl4Ni.

Cell: 5.6322 5.6322 5.6322 Å, 60.00 60.00 60.00°
Fractional coordinates of all 6 atoms:
Ba  0.0000  0.0000  0.0000
Al  0.3751  0.3751  0.3751
Al  0.3751  0.3751  0.8746
Al  0.3751  0.8746  0.3751
Al  0.8746  0.3751  0.3751
Ni  0.7500  0.7500  0.7500

Results
Electronic total energy: -21.372 eV per cell
SG: F-43m (216)
DFT formation energy: 0.217 eV per atom

---

What ρ values result from the calculations? In sequence: 8.05, 4.94, 6.25, 2.90, 9.99, 1.00, 5.42, 4.00 g/cm³.